(1)
# Tm2Ga9Co3

A relaxed structure of Tm2Ga9Co3 (PBEsol, Alexandria via LeMat-Bulk).

Values from the calculation:
V = 416 Å³ per cell
total moment = 0.00 Bohr magnetons per cell
space-group type = Cmcm, No. 63
D(E_F) = 11.16 states/eV/cell
raw total energy = -5.05 eV per atom

```
28
Lattice="-6.256 -2.857 2.183 6.197 -3.376 1.505 0.626 4.675 7.912" Properties=species:S:1:pos:R:3 pbc="T T T"
Tm 2.152 -4.108 4.938
Tm -1.586 2.550 6.661
Co -1.847 -0.690 5.916
Ga 1.470 -1.656 3.543
Ga 4.148 -3.990 2.809
Co 0.000 0.000 0.000
Ga 0.149 0.420 2.421
Co -2.160 -3.028 1.960
Ga -3.581 2.432 8.790
Ga -0.002 -3.879 2.931
Co 2.101 -3.205 1.728
Ga -3.803 0.774 5.985
Ga 1.777 -0.014 7.910
Tm -1.938 -3.938 5.161
Ga -0.904 0.098 8.056
Ga 0.330 0.540 5.655
Tm 2.504 2.380 6.438
Ga 4.480 0.429 5.534
Ga -3.914 -1.987 6.066
Ga -4.136 -3.644 3.260
Ga 0.236 -2.098 5.944
Ga 0.417 -1.978 9.179
Ga 0.569 2.321 8.669
Co 2.413 -0.868 5.684
Co 0.313 2.337 3.956
Ga 4.702 2.086 8.339
Ga -1.210 -1.544 3.689
Ga 4.369 -2.332 5.615
```

(2)
# ScZnGa2Cu

A relaxed structure of ScZnGa2Cu (PBEsol, Alexandria via LeMat-Bulk).

Values from the calculation:
V = 102 Å³ per cell
total moment = 0.00 Bohr magnetons per cell
space-group type = P4/mmm, No. 123
D(E_F) = 3.69 states/eV/cell
raw total energy = -3.35 eV per atom

```
5
Lattice="4.517 0.000 0.000 0.000 4.517 0.000 0.000 0.000 4.990" Properties=species:S:1:pos:R:3 pbc="T T T"
Cu 2.259 2.259 2.495
Sc 0.000 0.000 2.495
Ga 0.000 2.259 0.000
Zn 0.000 0.000 0.000
Ga 2.259 0.000 0.000
```

(3)
# RbLi3Cu

A relaxed structure of RbLi3Cu (PBEsol, Alexandria via LeMat-Bulk).

Values from the calculation:
V = 126 Å³ per cell
total moment = 0.00 Bohr magnetons per cell
space-group type = Pm-3m, No. 221
excess energy over the best structure of this formula in the dataset = 881.8 meV/atom
D(E_F) = 1.66 states/eV/cell
raw total energy = -1.13 eV per atom

```
5
Lattice="-5.014 -0.058 -0.196 0.096 -4.913 -1.014 -0.180 -1.017 4.910" Properties=species:S:1:pos:R:3 pbc="T T T"
Rb 0.000 0.000 0.000
Li -0.090 -0.509 2.455
Li 0.048 -2.457 -0.507
Li -2.507 -0.029 -0.098
Cu -2.549 -2.994 1.850
```

(4)
# LaAlCu2

A relaxed structure of LaAlCu2 (PBEsol, Alexandria via LeMat-Bulk).

Values from the calculation:
V = 78 Å³ per cell
total moment = 0.00 Bohr magnetons per cell
space-group type = Cm, No. 8
D(E_F) = 2.90 states/eV/cell
raw total energy = -4.75 eV per atom

```
4
Lattice="4.150 0.000 0.000 -2.075 3.591 -0.024 0.000 -2.349 5.230" Properties=species:S:1:pos:R:3 pbc="T T T"
Al 0.000 0.041 4.677
La 0.000 2.418 2.543
Cu 0.000 0.001 0.131
Cu 2.075 1.199 0.445
```

(5)
# MgTaSb3

A relaxed structure of MgTaSb3 (PBEsol, Alexandria via LeMat-Bulk).

Values from the calculation:
V = 136 Å³ per cell
uncorrected formation energy = 6.64 eV/f.u.
total moment = 2.36 Bohr magnetons per cell
space-group type = Pm-3m, No. 221
D(E_F) = 6.27 states/eV/cell
raw total energy = -4.26 eV per atom

```
5
Lattice="-4.923 1.309 0.706 -1.226 -2.188 -4.489 -0.842 -4.466 2.406" Properties=species:S:1:pos:R:3 pbc="T T T"
Mg 0.000 0.000 0.000
Sb -2.461 0.654 0.353
Sb -0.613 -1.094 -2.245
Ta -3.495 -2.672 -0.689
Sb -0.421 -2.233 1.203
```

(6)
# In2ReTc

A relaxed structure of In2ReTc (PBEsol, Alexandria via LeMat-Bulk).

Values from the calculation:
V = 73 Å³ per cell
total moment = 0.00 Bohr magnetons per cell
space-group type = P4mm, No. 99
excess energy over the best structure of this formula in the dataset = 0.0 meV/atom
D(E_F) = 2.95 states/eV/cell
raw total energy = -7.47 eV per atom

```
4
Lattice="-1.346 1.890 1.862 -1.881 0.792 -2.164 -5.220 -6.018 2.334" Properties=species:S:1:pos:R:3 pbc="T T T"
In -5.002 -5.766 2.236
In -3.128 -0.405 0.526
Re -2.818 -3.249 1.260
Tc -5.330 -2.944 1.510
```

(7)
# SrSc2Cl

A relaxed structure of SrSc2Cl (PBEsol, Alexandria via LeMat-Bulk).

Values from the calculation:
V = 107 Å³ per cell
uncorrected formation energy = 0.66 eV/f.u.
total moment = 0.00 Bohr magnetons per cell
space-group type = P4/mmm, No. 123
excess energy over the best structure of this formula in the dataset = 610.0 meV/atom
D(E_F) = 4.72 states/eV/cell
raw total energy = -4.10 eV per atom

```
4
Lattice="3.556 0.000 0.000 0.000 5.496 0.000 0.000 0.000 5.496" Properties=species:S:1:pos:R:3 pbc="T T T"
Cl 1.778 0.000 0.000
Sc 0.000 2.748 0.000
Sr 1.778 2.748 2.748
Sc 0.000 0.000 2.748
```

(8)
# HoSnRu2

A relaxed structure of HoSnRu2 (PBEsol, Alexandria via LeMat-Bulk).

Values from the calculation:
V = 68 Å³ per cell
total moment = 0.00 Bohr magnetons per cell
space-group type = Fm-3m, No. 225
D(E_F) = 5.12 states/eV/cell
raw total energy = -7.75 eV per atom

```
4
Lattice="-3.999 -1.494 1.684 -3.295 -1.440 -2.850 -1.058 -4.459 -0.217" Properties=species:S:1:pos:R:3 pbc="T T T"
Sn 0.000 0.000 0.000
Ho -4.176 -3.697 -0.692
Ru -6.264 -5.545 -1.038
Ru -2.088 -1.848 -0.346
```

> Among the records above, which one has the highest total moment?

MgTaSb3

Repeat the eighth record exactly.
# HoSnRu2

A relaxed structure of HoSnRu2 (PBEsol, Alexandria via LeMat-Bulk).

Values from the calculation:
V = 68 Å³ per cell
total moment = 0.00 Bohr magnetons per cell
space-group type = Fm-3m, No. 225
D(E_F) = 5.12 states/eV/cell
raw total energy = -7.75 eV per atom

```
4
Lattice="-3.999 -1.494 1.684 -3.295 -1.440 -2.850 -1.058 -4.459 -0.217" Properties=species:S:1:pos:R:3 pbc="T T T"
Sn 0.000 0.000 0.000
Ho -4.176 -3.697 -0.692
Ru -6.264 -5.545 -1.038
Ru -2.088 -1.848 -0.346
```

> Look up the total moment of the third one.

0.00 Bohr magnetons per cell

Repeat the first record exactly.
# Tm2Ga9Co3

A relaxed structure of Tm2Ga9Co3 (PBEsol, Alexandria via LeMat-Bulk).

Values from the calculation:
V = 416 Å³ per cell
total moment = 0.00 Bohr magnetons per cell
space-group type = Cmcm, No. 63
D(E_F) = 11.16 states/eV/cell
raw total energy = -5.05 eV per atom

```
28
Lattice="-6.256 -2.857 2.183 6.197 -3.376 1.505 0.626 4.675 7.912" Properties=species:S:1:pos:R:3 pbc="T T T"
Tm 2.152 -4.108 4.938
Tm -1.586 2.550 6.661
Co -1.847 -0.690 5.916
Ga 1.470 -1.656 3.543
Ga 4.148 -3.990 2.809
Co 0.000 0.000 0.000
Ga 0.149 0.420 2.421
Co -2.160 -3.028 1.960
Ga -3.581 2.432 8.790
Ga -0.002 -3.879 2.931
Co 2.101 -3.205 1.728
Ga -3.803 0.774 5.985
Ga 1.777 -0.014 7.910
Tm -1.938 -3.938 5.161
Ga -0.904 0.098 8.056
Ga 0.330 0.540 5.655
Tm 2.504 2.380 6.438
Ga 4.480 0.429 5.534
Ga -3.914 -1.987 6.066
Ga -4.136 -3.644 3.260
Ga 0.236 -2.098 5.944
Ga 0.417 -1.978 9.179
Ga 0.569 2.321 8.669
Co 2.413 -0.868 5.684
Co 0.313 2.337 3.956
Ga 4.702 2.086 8.339
Ga -1.210 -1.544 3.689
Ga 4.369 -2.332 5.615
```